First-principles (PBE-GGA) data for TiGe2Ir after structural relaxation, as listed in the Alexandria database.

Cell lengths 9.3769, 9.3769, 9.3769 Å; angles 156.00, 156.00, 34.20 degrees
Fractional coordinates of all 8 atoms:
Ti 0.0000 0.0000 0.0000
Ti 0.7500 0.2500 0.5000
Ge 0.1368 0.6250 0.0118
Ge 0.3750 0.3868 0.5118
Ge 0.6132 0.1250 0.9882
Ge 0.8750 0.8632 0.4882
Ir 0.2500 0.7500 0.5000
Ir 0.5000 0.5000 0.0000

Values from the calculation:
SG: I-42d
Uncorrected energy in eV/atom: -6.62
ρ in Mg/m³: 9.39

=====

First-principles (PBE-GGA) data for Ti2GeIr after structural relaxation, as listed in the Alexandria database.

Cell lengths 9.3349, 9.3349, 9.3349 Å; angles 155.86, 155.86, 34.41 degrees
Fractional coordinates of all 8 atoms:
Ti 0.1129 0.6250 0.9879
Ti 0.3750 0.3629 0.4879
Ti 0.6371 0.1250 0.0121
Ti 0.8750 0.8871 0.5121
Ge 0.0000 0.0000 0.0000
Ge 0.7500 0.2500 0.5000
Ir 0.2500 0.7500 0.5000
Ir 0.5000 0.5000 0.0000

Values from the calculation:
SG: I-42d
Uncorrected energy in eV/atom: -7.36
ρ in Mg/m³: 8.81

=====

First-principles (PBE-GGA) data for TiGe2Ir after structural relaxation, as listed in the Alexandria database.

Cell lengths 9.2796, 9.2796, 9.2796 Å; angles 18.38, 18.38, 18.38 degrees
Fractional coordinates of all 4 atoms:
Ti 0.0000 0.0000 0.0000
Ge 0.0948 0.0948 0.0948
Ge 0.9052 0.9052 0.9052
Ir 0.5000 0.5000 0.5000

Values from the calculation:
SG: R-3m
Uncorrected energy in eV/atom: -6.44
ρ in Mg/m³: 9.23

=====

First-principles (PBE-GGA) data for Ti2GeIr5 after structural relaxation, as listed in the Alexandria database.

Cell lengths 5.4710, 10.8088, 3.9607 Å; angles 90.00, 90.00, 90.00 degrees
Fractional coordinates of all 16 atoms:
Ti 0.1889 0.1395 0.0000
Ti 0.3111 0.6395 0.0000
Ti 0.6889 0.3605 0.0000
Ti 0.8111 0.8605 0.0000
Ge 0.0000 0.5000 0.5000
Ge 0.5000 0.0000 0.5000
Ir 0.0000 0.0000 0.5000
Ir 0.0522 0.7496 0.5000
Ir 0.2007 0.3868 0.0000
Ir 0.2993 0.8868 0.0000
Ir 0.4478 0.2496 0.5000
Ir 0.5000 0.5000 0.5000
Ir 0.5522 0.7504 0.5000
Ir 0.7007 0.1132 0.0000
Ir 0.7993 0.6132 0.0000
Ir 0.9478 0.2504 0.5000

Values from the calculation:
SG: Pbam
Uncorrected energy in eV/atom: -8.82
ρ in Mg/m³: 16.02

=====

First-principles (PBE-GGA) data for TiGeIr3 after structural relaxation, as listed in the Alexandria database.

Cell lengths 4.6189, 4.6189, 4.6189 Å; angles 90.00, 90.00, 90.00 degrees
Fractional coordinates of all 5 atoms:
Ti 0.0000 0.0000 0.0000
Ge 0.5000 0.5000 0.5000
Ir 0.0000 0.0000 0.5000
Ir 0.0000 0.5000 0.0000
Ir 0.5000 0.0000 0.0000

Values from the calculation:
Offset from the most stable computed form in eV per atom: 0.345
SG: Pm-3m
Uncorrected energy in eV/atom: -6.69
ρ in Mg/m³: 11.75

=====

First-principles (PBE-GGA) data for TiGeIr after structural relaxation, as listed in the Alexandria database.

Cell lengths 7.5102, 7.5102, 7.5102 Å; angles 120.10, 83.17, 128.14 degrees
Fractional coordinates of all 18 atoms:
Ti 0.0010 0.2500 0.2510
Ti 0.0979 0.0827 0.5152
Ti 0.1842 0.6282 0.0559
Ti 0.5675 0.5827 0.4848
Ti 0.5723 0.1282 0.9441
Ti 0.9990 0.7500 0.7490
Ge 0.2468 0.0744 0.1632
Ge 0.2468 0.5835 0.6724
Ge 0.5301 0.3297 0.7005
Ge 0.6292 0.8297 0.2995
Ge 0.9112 0.0835 0.8368
Ge 0.9112 0.5744 0.3276
Ir 0.3291 0.3291 0.0000
Ir 0.3291 0.8291 0.5000
Ir 0.5867 0.1584 0.3271
Ir 0.5867 0.7597 0.9284
Ir 0.8313 0.2597 0.6729
Ir 0.8313 0.6584 0.0716

Values from the calculation:
SG: Ima2
Uncorrected energy in eV/atom: -7.83
ρ in Mg/m³: 11.26

=====

First-principles (PBE-GGA) data for TiGe2Ir after structural relaxation, as listed in the Alexandria database.

Cell lengths 4.1127, 4.1127, 3.6185 Å; angles 90.00, 90.00, 90.00 degrees
Fractional coordinates of all 4 atoms:
Ti 0.0000 0.0000 0.0000
Ge 0.0000 0.5000 0.5000
Ge 0.5000 0.0000 0.5000
Ir 0.5000 0.5000 0.0000

Values from the calculation:
SG: P4/mmm
Uncorrected energy in eV/atom: -6.81
ρ in Mg/m³: 10.46

=====

First-principles (PBE-GGA) data for TiGe2Ir after structural relaxation, as listed in the Alexandria database.

Cell lengths 4.4346, 4.4346, 4.4346 Å; angles 60.00, 60.00, 60.00 degrees
Fractional coordinates of all 4 atoms:
Ti 0.0000 0.0000 0.0000
Ge 0.2500 0.2500 0.2500
Ge 0.7500 0.7500 0.7500
Ir 0.5000 0.5000 0.5000

Values from the calculation:
SG: Fm-3m
Uncorrected energy in eV/atom: -6.74
ρ in Mg/m³: 10.38

=====

First-principles (PBE-GGA) data for Ti3GeIr after structural relaxation, as listed in the Alexandria database.

Cell lengths 4.7367, 4.7367, 4.7367 Å; angles 90.00, 90.00, 90.00 degrees
Fractional coordinates of all 5 atoms:
Ti 0.0000 0.0000 0.5000
Ti 0.0000 0.5000 0.0000
Ti 0.5000 0.0000 0.0000
Ge 0.5000 0.5000 0.5000
Ir 0.0000 0.0000 0.0000

Values from the calculation:
Offset from the most stable computed form in eV per atom: 0.689
SG: Pm-3m
Uncorrected energy in eV/atom: -7.19
ρ in Mg/m³: 6.38

=====

First-principles (PBE-GGA) data for TiGeIr after structural relaxation, as listed in the Alexandria database.

Cell lengths 6.9223, 6.9223, 6.8204 Å; angles 90.00, 90.00, 120.00 degrees
Fractional coordinates of all 18 atoms:
Ti 0.0294 0.6247 0.2500
Ti 0.3753 0.4047 0.2500
Ti 0.4047 0.3753 0.7500
Ti 0.5953 0.9706 0.2500
Ti 0.6247 0.0294 0.7500
Ti 0.9706 0.5953 0.7500
Ge 0.0000 0.2775 0.0000
Ge 0.0000 0.2775 0.5000
Ge 0.2775 0.0000 0.0000
Ge 0.2775 0.0000 0.5000
Ge 0.7225 0.7225 0.0000
Ge 0.7225 0.7225 0.5000
Ir 0.0000 0.0000 0.2500
Ir 0.0000 0.0000 0.7500
Ir 0.3333 0.6667 0.5395
Ir 0.3333 0.6667 0.9605
Ir 0.6667 0.3333 0.0395
Ir 0.6667 0.3333 0.4605

Values from the calculation:
SG: P-62c
Uncorrected energy in eV/atom: -7.84
ρ in Mg/m³: 11.01

=====

First-principles (PBE-GGA) data for Tm2TiGe3Ir4 after structural relaxation, as listed in the Alexandria database.

Cell lengths 4.0760, 4.0760, 10.8255 Å; angles 90.00, 90.00, 90.00 degrees
Fractional coordinates of all 10 atoms:
Tm 0.0000 0.5000 0.2369
Tm 0.5000 0.0000 0.7631
Ti 0.0000 0.0000 0.5000
Ge 0.0000 0.5000 0.8689
Ge 0.5000 0.0000 0.1311
Ge 0.5000 0.5000 0.5000
Ir 0.0000 0.0000 0.0000
Ir 0.0000 0.5000 0.6437
Ir 0.5000 0.0000 0.3563
Ir 0.5000 0.5000 0.0000

Values from the calculation:
SG: P-4m2
Uncorrected energy in eV/atom: -7.42
ρ in Mg/m³: 12.67

=====

First-principles (PBE-GGA) data for TiV2GeIr after structural relaxation, as listed in the Alexandria database.

Cell lengths 4.4037, 4.4037, 4.5523 Å; angles 90.00, 90.00, 90.00 degrees
Fractional coordinates of all 5 atoms:
Ti 0.0000 0.0000 0.0000
V 0.0000 0.5000 0.5000
V 0.5000 0.0000 0.5000
Ge 0.0000 0.0000 0.5000
Ir 0.5000 0.5000 0.0000

Values from the calculation:
SG: P4/mmm
Uncorrected energy in eV/atom: -7.05
ρ in Mg/m³: 7.80

=====

First-principles (PBE-GGA) data for Y2TiGe4Ir3 after structural relaxation, as listed in the Alexandria database.

Cell lengths 4.1093, 4.1093, 10.9386 Å; angles 90.00, 90.00, 90.00 degrees
Fractional coordinates of all 10 atoms:
Y 0.0000 0.5000 0.2503
Y 0.5000 0.0000 0.7497
Ti 0.0000 0.0000 0.5000
Ge 0.0000 0.0000 0.0000
Ge 0.0000 0.5000 0.6452
Ge 0.5000 0.0000 0.3548
Ge 0.5000 0.5000 0.0000
Ir 0.0000 0.5000 0.8708
Ir 0.5000 0.0000 0.1292
Ir 0.5000 0.5000 0.5000

Values from the calculation:
SG: P-4m2
Uncorrected energy in eV/atom: -7.32
ρ in Mg/m³: 9.83

=====

First-principles (PBE-GGA) data for TiZn2GeIr after structural relaxation, as listed in the Alexandria database.

Cell lengths 4.6913, 4.6913, 4.7173 Å; angles 90.00, 90.00, 90.00 degrees
Fractional coordinates of all 5 atoms:
Ti 0.0000 0.0000 0.0000
Zn 0.0000 0.5000 0.0000
Zn 0.5000 0.0000 0.0000
Ge 0.0000 0.0000 0.5000
Ir 0.5000 0.5000 0.5000

Values from the calculation:
SG: P4/mmm
Uncorrected energy in eV/atom: -3.46
ρ in Mg/m³: 7.09

=====

First-principles (PBE-GGA) data for ZrTiGe2Ir after structural relaxation, as listed in the Alexandria database.

Cell lengths 4.9963, 4.9963, 4.6323 Å; angles 90.00, 90.00, 90.00 degrees
Fractional coordinates of all 5 atoms:
Zr 0.0000 0.0000 0.0000
Ti 0.0000 0.0000 0.5000
Ge 0.0000 0.5000 0.0000
Ge 0.5000 0.0000 0.0000
Ir 0.5000 0.5000 0.5000

Values from the calculation:
SG: P4/mmm
Uncorrected energy in eV/atom: -5.57
ρ in Mg/m³: 6.84

=====

First-principles (PBE-GGA) data for TlGe2Ir after structural relaxation, as listed in the Alexandria database.

Cell lengths 8.7776, 8.7776, 8.7776 Å; angles 23.29, 23.29, 23.29 degrees
Fractional coordinates of all 4 atoms:
Tl 0.0000 0.0000 0.0000
Ge 0.1105 0.1105 0.1105
Ge 0.8895 0.8895 0.8895
Ir 0.5000 0.5000 0.5000

Values from the calculation:
Offset from the most stable computed form in eV per atom: 0.000
SG: R-3m
Uncorrected energy in eV/atom: -5.05
ρ in Mg/m³: 9.70

=====

First-principles (PBE-GGA) data for Tl2GeIr after structural relaxation, as listed in the Alexandria database.

Cell lengths 7.3698, 7.3698, 7.3698 Å; angles 95.79, 95.79, 142.97 degrees
Fractional coordinates of all 8 atoms:
Tl 0.3750 0.2423 0.3673
Tl 0.7577 0.1250 0.1327
Tl 0.8750 0.0077 0.6327
Tl 0.9923 0.6250 0.8673
Ge 0.2500 0.7500 0.5000
Ge 0.5000 0.5000 0.0000
Ir 0.0000 0.0000 0.0000
Ir 0.7500 0.2500 0.5000

Values from the calculation:
SG: I-42d
Uncorrected energy in eV/atom: -4.33
ρ in Mg/m³: 9.79

=====

First-principles (PBE-GGA) data for Tl3GeIr after structural relaxation, as listed in the Alexandria database.

Cell lengths 5.3210, 5.3210, 5.3210 Å; angles 90.00, 90.00, 90.00 degrees
Fractional coordinates of all 5 atoms:
Tl 0.0000 0.0000 0.5000
Tl 0.0000 0.5000 0.0000
Tl 0.5000 0.0000 0.0000
Ge 0.0000 0.0000 0.0000
Ir 0.5000 0.5000 0.5000

Values from the calculation:
Offset from the most stable computed form in eV per atom: 0.701
SG: Pm-3m
Uncorrected energy in eV/atom: -2.93
ρ in Mg/m³: 9.68

=====

First-principles (PBE-GGA) data for TlGe3Ir after structural relaxation, as listed in the Alexandria database.

Cell lengths 4.8997, 4.8997, 4.8997 Å; angles 90.00, 90.00, 90.00 degrees
Fractional coordinates of all 5 atoms:
Tl 0.0000 0.0000 0.0000
Ge 0.0000 0.5000 0.5000
Ge 0.5000 0.0000 0.5000
Ge 0.5000 0.5000 0.0000
Ir 0.5000 0.5000 0.5000

Values from the calculation:
Offset from the most stable computed form in eV per atom: 0.000
SG: Pm-3m
Uncorrected energy in eV/atom: -4.77
ρ in Mg/m³: 8.68

=====

First-principles (PBE-GGA) data for Tl2Ge2Ir after structural relaxation, as listed in the Alexandria database.

Cell lengths 8.4982, 8.4982, 8.4982 Å; angles 153.44, 153.44, 37.91 degrees
Fractional coordinates of all 5 atoms:
Tl 0.2500 0.7500 0.5000
Tl 0.7500 0.2500 0.5000
Ge 0.0761 0.0761 0.0000
Ge 0.9239 0.9239 0.0000
Ir 0.5000 0.5000 0.0000

Values from the calculation:
Offset from the most stable computed form in eV per atom: 0.749
SG: I4/mmm
Uncorrected energy in eV/atom: -3.71
ρ in Mg/m³: 10.12